# SrLi2Sn2 | Alexandria | SCAN | single point on PBEsol structure
data_SrLi2Sn2
_chemical_formula_sum 'Sr2 Li4 Sn4'
_cell_length_a 4.5414
_cell_length_b 4.5414
_cell_length_c 12.2408
_cell_angle_alpha 90.00
_cell_angle_beta 90.00
_cell_angle_gamma 90.00
_space_group_name_H-M_alt 'I 4/m m m'
_space_group_IT_number 139
_space_group_name_Hall '-I 4 2'
loop_
_atom_site_label
_atom_site_type_symbol
_atom_site_fract_x
_atom_site_fract_y
_atom_site_fract_z
Sr1 Sr 0.0000 0.0000 0.0000
Li1 Li 0.0000 0.5000 0.2500
Sn1 Sn 0.0000 0.0000 0.3867
# Formation energy from the elements: -0.5319 eV per atom
# Magnetic moment: 0.00 μB/atom

# AgAu | Alexandria | SCAN | single point on PBEsol structure
data_AgAu
_chemical_formula_sum 'Ag4 Au4'
_cell_length_a 4.9172
_cell_length_b 4.7116
_cell_length_c 5.7789
_cell_angle_alpha 90.00
_cell_angle_beta 90.00
_cell_angle_gamma 90.00
_space_group_name_H-M_alt 'P n m a'
_space_group_IT_number 62
loop_
_space_group_symop_operation_xyz
'x,y,z'
'-x,-y,-z'
'-x+1/2,-y,z+1/2'
'x+1/2,y,-z+1/2'
'x+1/2,-y+1/2,-z+1/2'
'-x+1/2,y+1/2,z+1/2'
'-x,y+1/2,-z'
'x,-y+1/2,z'
loop_
_atom_site_label
_atom_site_type_symbol
_atom_site_fract_x
_atom_site_fract_y
_atom_site_fract_z
Ag1 Ag 0.0834 0.2500 0.1252
Au1 Au 0.0802 0.2500 0.6253
# Formation energy from the elements: -0.0774 eV per atom
# Magnetic moment: 0.00 μB/atom